i | CaCr2Mo at its PBEsol-relaxed geometry. Source: Alexandria via LeMat-Bulk, functional SCAN.

Cell: 2.829 4.047 6.229 Å, 90.00 98.61 90.00°
Element x y z (fractional)
1 Ca 0.000 0.000 0.000
2 Cr 0.182 0.500 0.653
3 Cr 0.818 0.500 0.347
4 Mo 0.500 0.000 0.500

Output
Its magnetization is 0.00 μB/f.u. The calculation puts the density of states at the Fermi level at 0.85 states/eV/atom.

=====

ii | CaCr2Mo at its PBEsol-relaxed geometry. Source: Alexandria via LeMat-Bulk, functional SCAN.

Cell: 4.495 4.495 4.495 Å, 60.00 60.00 60.00°
Element x y z (fractional)
1 Ca 0.000 0.000 0.000
2 Cr 0.250 0.250 0.250
3 Cr 0.750 0.750 0.750
4 Mo 0.500 0.500 0.500

Output
Its magnetization is 3.92 μB/f.u. The calculation puts the density of states at the Fermi level at 0.68 states/eV/atom.

=====

Result of the stability comparison: ii is the most stable of them.